Computed, not measured: a relaxed CePmCu4 crystal at the GGA-PBE level of DFT.

abc: 3.9170 3.9170 15.5307
angles: 90.00 90.00 90.00
Fractional coordinates of all 12 atoms:
Ce: 0.0000 0.0000 0.0000
Ce: 0.5000 0.5000 0.5000
Pm: 0.0000 0.5000 0.2500
Pm: 0.5000 0.0000 0.7500
Cu: 0.0000 0.0000 0.4203
Cu: 0.0000 0.0000 0.5797
Cu: 0.0000 0.5000 0.6703
Cu: 0.0000 0.5000 0.8297
Cu: 0.5000 0.0000 0.1703
Cu: 0.5000 0.0000 0.3297
Cu: 0.5000 0.5000 0.0797
Cu: 0.5000 0.5000 0.9203

Relative energy among the computed polymorphs ... 0.000 eV per atom
N(E_F) ... 8.901 states/eV/f.u.
Calculated total energy ... -4.66 eV per atom
ρ ... 7.52 g/cm³

---

Computed, not measured: a relaxed MnNb2Rh crystal at the GGA-PBE level of DFT.

abc: 2.8192 2.8192 28.8166
angles: 90.00 90.00 120.00
Fractional coordinates of all 12 atoms:
Mn: 0.0000 0.0000 0.0000
Mn: 0.3333 0.6667 0.6667
Mn: 0.6667 0.3333 0.3333
Nb: 0.0000 0.0000 0.0870
Nb: 0.0000 0.0000 0.9130
Nb: 0.3333 0.6667 0.5797
Nb: 0.3333 0.6667 0.7536
Nb: 0.6667 0.3333 0.2464
Nb: 0.6667 0.3333 0.4203
Rh: 0.0000 0.0000 0.5000
Rh: 0.3333 0.6667 0.1667
Rh: 0.6667 0.3333 0.8333

N(E_F) ... 4.760 states/eV/f.u.
Calculated total energy ... -8.86 eV per atom
ρ ... 8.63 g/cm³

---

Computed, not measured: a relaxed SmDy2YSe6 crystal at the GGA-PBE level of DFT.

abc: 7.7382 7.7382 7.7382
angles: 55.88 55.88 55.88
Fractional coordinates of all 10 atoms:
Sm: 0.0000 0.0000 0.0000
Dy: 0.3006 0.3006 0.3006
Dy: 0.8024 0.8024 0.8024
Y: 0.4974 0.4974 0.4974
Se: 0.0921 0.6948 0.4094
Se: 0.2036 0.5908 0.9008
Se: 0.4094 0.0921 0.6948
Se: 0.5908 0.9008 0.2036
Se: 0.6948 0.4094 0.0921
Se: 0.9008 0.2036 0.5908

N(E_F) ... 0.000 states/eV/f.u.
Calculated total energy ... -5.98 eV per atom
ρ ... 5.82 g/cm³

---

Computed, not measured: a relaxed Na4SnHg2 crystal at the GGA-PBE level of DFT.

abc: 8.3793 6.2354 8.3872
angles: 90.00 116.07 90.00
Fractional coordinates of all 14 atoms:
Na: 0.0594 0.2500 0.0893
Na: 0.2060 0.0000 0.7052
Na: 0.2060 0.5000 0.7052
Na: 0.4142 0.2500 0.4401
Na: 0.5858 0.7500 0.5599
Na: 0.7940 0.0000 0.2948
Na: 0.7940 0.5000 0.2948
Na: 0.9406 0.7500 0.9107
Sn: 0.3643 0.7500 0.1363
Sn: 0.6357 0.2500 0.8637
Hg: 0.1513 0.7500 0.3463
Hg: 0.4210 0.2500 0.0775
Hg: 0.5790 0.7500 0.9225
Hg: 0.8487 0.2500 0.6537

Relative energy among the computed polymorphs ... 0.000 eV per atom
N(E_F) ... 3.433 states/eV/f.u.
Calculated total energy ... -1.57 eV per atom
ρ ... 5.16 g/cm³

---

Computed, not measured: a relaxed NaSm2Er crystal at the GGA-PBE level of DFT.

abc: 3.5325 3.5325 38.2603
angles: 90.00 90.00 120.00
Fractional coordinates of all 12 atoms:
Na: 0.0000 0.0000 0.0000
Na: 0.3333 0.6667 0.6667
Na: 0.6667 0.3333 0.3333
Sm: 0.0000 0.0000 0.0924
Sm: 0.0000 0.0000 0.9076
Sm: 0.3333 0.6667 0.5743
Sm: 0.3333 0.6667 0.7591
Sm: 0.6667 0.3333 0.2409
Sm: 0.6667 0.3333 0.4257
Er: 0.0000 0.0000 0.5000
Er: 0.3333 0.6667 0.1667
Er: 0.6667 0.3333 0.8333

Relative energy among the computed polymorphs ... 0.026 eV per atom
N(E_F) ... 4.528 states/eV/f.u.
Calculated total energy ... -3.69 eV per atom
ρ ... 5.92 g/cm³

---

Computed, not measured: a relaxed RuPbSe crystal at the GGA-PBE level of DFT.

abc: 12.9621 3.1969 8.6639
angles: 90.00 129.84 90.00
Fractional coordinates of all 12 atoms:
Ru: 0.0000 0.0000 0.0000
Ru: 0.2090 0.0000 0.4272
Ru: 0.5000 0.5000 0.0000
Ru: 0.7090 0.5000 0.4272
Pb: 0.2333 0.0000 0.7814
Pb: 0.2537 0.5000 0.1991
Pb: 0.7333 0.5000 0.7814
Pb: 0.7537 0.0000 0.1991
Se: 0.0246 0.5000 0.2663
Se: 0.4478 0.0000 0.7358
Se: 0.5246 0.0000 0.2663
Se: 0.9478 0.5000 0.7358

Relative energy among the computed polymorphs ... 0.038 eV per atom
N(E_F) ... 1.588 states/eV/f.u.
Calculated total energy ... -5.50 eV per atom
ρ ... 9.33 g/cm³

---

Computed, not measured: a relaxed PbI3F crystal at the GGA-PBE level of DFT.

abc: 6.1675 6.1675 6.1675
angles: 90.00 90.00 90.00
Fractional coordinates of all 5 atoms:
Pb: 0.0000 0.0000 0.0000
I: 0.0000 0.0000 0.5000
I: 0.0000 0.5000 0.0000
I: 0.5000 0.0000 0.0000
F: 0.5000 0.5000 0.5000

Relative energy among the computed polymorphs ... 0.029 eV per atom
N(E_F) ... 22.511 states/eV/f.u.
Calculated total energy ... -2.10 eV per atom
ρ ... 4.30 g/cm³

---

Computed, not measured: a relaxed GdMgHgPb crystal at the GGA-PBE level of DFT.

abc: 7.4357 7.4357 7.4357
angles: 90.00 90.00 90.00
Fractional coordinates of all 16 atoms:
Gd: 0.0000 0.0000 0.0000
Gd: 0.0000 0.5000 0.5000
Gd: 0.5000 0.0000 0.5000
Gd: 0.5000 0.5000 0.0000
Mg: 0.0000 0.0000 0.5000
Mg: 0.0000 0.5000 0.0000
Mg: 0.5000 0.0000 0.0000
Mg: 0.5000 0.5000 0.5000
Hg: 0.2500 0.2500 0.2500
Hg: 0.2500 0.7500 0.7500
Hg: 0.7500 0.2500 0.7500
Hg: 0.7500 0.7500 0.2500
Pb: 0.2500 0.2500 0.7500
Pb: 0.2500 0.7500 0.2500
Pb: 0.7500 0.2500 0.2500
Pb: 0.7500 0.7500 0.7500

N(E_F) ... 2.905 states/eV/f.u.
Calculated total energy ... -5.27 eV per atom
ρ ... 9.52 g/cm³

---

Computed, not measured: a relaxed Nd2Dy3Tm5 crystal at the GGA-PBE level of DFT.

abc: 12.2640 12.2640 12.2640
angles: 135.17 56.05 148.13
Fractional coordinates of all 20 atoms:
Nd: 0.1262 0.1033 0.2295
Nd: 0.3738 0.6033 0.9771
Nd: 0.6262 0.3967 0.0229
Nd: 0.8738 0.8967 0.7705
Dy: 0.1274 0.7485 0.8759
Dy: 0.2500 0.2500 0.0000
Dy: 0.3726 0.2485 0.6211
Dy: 0.6274 0.7515 0.3789
Dy: 0.7500 0.7500 0.0000
Dy: 0.8726 0.2515 0.1241
Tm: 0.0025 0.7500 0.2525
Tm: 0.1241 0.4143 0.5384
Tm: 0.2500 0.7500 0.5000
Tm: 0.3759 0.9143 0.2901
Tm: 0.4975 0.7500 0.7475
Tm: 0.5025 0.2500 0.2525
Tm: 0.6241 0.0857 0.7099
Tm: 0.7500 0.2500 0.5000
Tm: 0.8759 0.5857 0.4616
Tm: 0.9975 0.2500 0.7475

Relative energy among the computed polymorphs ... 0.225 eV per atom
N(E_F) ... 16.766 states/eV/f.u.
Calculated total energy ... -4.15 eV per atom
ρ ... 7.90 g/cm³

---

Computed, not measured: a relaxed YPOs3 crystal at the GGA-PBE level of DFT.

abc: 4.4347 4.4347 4.4347
angles: 90.00 90.00 90.00
Fractional coordinates of all 5 atoms:
Y: 0.0000 0.0000 0.0000
P: 0.5000 0.5000 0.5000
Os: 0.0000 0.5000 0.5000
Os: 0.5000 0.0000 0.5000
Os: 0.5000 0.5000 0.0000

Relative energy among the computed polymorphs ... 0.000 eV per atom
N(E_F) ... 1.788 states/eV/f.u.
Calculated total energy ... -8.97 eV per atom
ρ ... 13.15 g/cm³

---

Computed, not measured: a relaxed Mn5Be2GaW2 crystal at the GGA-PBE level of DFT.

abc: 8.6508 8.6508 3.1163
angles: 90.00 90.00 90.00
Fractional coordinates of all 20 atoms:
Mn: 0.0000 0.5000 0.0000
Mn: 0.0675 0.2134 0.0000
Mn: 0.2134 0.9325 0.0000
Mn: 0.2866 0.4325 0.0000
Mn: 0.4325 0.7134 0.0000
Mn: 0.5000 0.0000 0.0000
Mn: 0.5675 0.2866 0.0000
Mn: 0.7134 0.5675 0.0000
Mn: 0.7866 0.0675 0.0000
Mn: 0.9325 0.7866 0.0000
Be: 0.1216 0.3784 0.5000
Be: 0.3784 0.8784 0.5000
Be: 0.6216 0.1216 0.5000
Be: 0.8784 0.6216 0.5000
Ga: 0.0000 0.0000 0.5000
Ga: 0.5000 0.5000 0.5000
W: 0.1739 0.6739 0.5000
W: 0.3261 0.1739 0.5000
W: 0.6739 0.8261 0.5000
W: 0.8261 0.3261 0.5000

N(E_F) ... 6.722 states/eV/f.u.
Calculated total energy ... -8.24 eV per atom
ρ ... 10.40 g/cm³

---

Computed, not measured: a relaxed RbTlAs5 crystal at the GGA-PBE level of DFT.

abc: 6.9765 6.9765 12.6434
angles: 92.39 92.39 138.85
Fractional coordinates of all 14 atoms:
Rb: 0.0076 0.9924 0.7500
Rb: 0.9924 0.0076 0.2500
Tl: 0.5000 0.5000 0.0000
Tl: 0.5000 0.5000 0.5000
As: 0.0744 0.4734 0.6351
As: 0.1071 0.7347 0.9656
As: 0.2653 0.8929 0.5344
As: 0.3053 0.6947 0.2500
As: 0.4734 0.0744 0.1351
As: 0.5266 0.9256 0.8649
As: 0.6947 0.3053 0.7500
As: 0.7347 0.1071 0.4656
As: 0.8929 0.2653 0.0344
As: 0.9256 0.5266 0.3649

N(E_F) ... 1.194 states/eV/f.u.
Calculated total energy ... -3.84 eV per atom
ρ ... 5.49 g/cm³

---

- What is the N(E_F) in the ninth record?
  16.766 states/eV/f.u.

---

- Look up the ρ of the eighth one.
  9.52 g/cm³

---

- Which formula does entry 4 have?
  Na4SnHg2